Entry 1:
Computed, not measured: a PBEsol-optimized structure of HfNb3Ga at the meta-GGA SCAN level of DFT.

Results
- raw total energy (eV/atom) = -34.8440
- formation energy (eV/atom) = 0.838

Lattice parameters (Å, degrees): 4.7260 4.7260 4.7260 90.00 90.00 90.00
Space group Pm-3m (No. 221)
Unique sites:
Hf1 0.0000 0.0000 0.0000 [1 per cell]
Nb1 0.0000 0.5000 0.5000 [3 per cell]
Ga1 0.5000 0.5000 0.5000 [1 per cell]

Entry 2:
Computed, not measured: a PBEsol-optimized structure of In2ICl at the meta-GGA SCAN level of DFT.

Results
- raw total energy (eV/atom) = -28.4441
- formation energy from raw total energies (eV/f.u.) = -2.28

Lattice parameters (Å, degrees): 7.8400 7.8400 7.8400 90.00 90.00 90.00
Space group Fm-3m (No. 225)
Unique sites:
In1 0.2500 0.2500 0.2500 [8 per cell]
I1 0.0000 0.0000 0.0000 [4 per cell]
Cl1 0.0000 0.0000 0.5000 [4 per cell]

Entry 3:
Computed, not measured: a PBEsol-optimized structure of CaCrTc2 at the meta-GGA SCAN level of DFT.

Results
- raw total energy (eV/atom) = -23.6748
- formation energy (eV/atom) = 0.867

Lattice parameters (Å, degrees): 4.4430 4.4430 3.0288 90.00 90.00 90.00
Space group P4/mmm (No. 123)
Unique sites:
Ca1 0.0000 0.0000 0.0000 [1 per cell]
Cr1 0.5000 0.5000 0.0000 [1 per cell]
Tc1 0.0000 0.5000 0.5000 [2 per cell]

Entry 4:
Computed, not measured: a PBEsol-optimized structure of YTl2As at the meta-GGA SCAN level of DFT.

Results
- raw total energy (eV/atom) = -48.6037
- formation energy (eV/atom) = -0.416

Lattice parameters (Å, degrees): 4.0088 4.0088 24.2315 90.00 90.00 120.00
Space group R3m (No. 160, hexagonal axes)
Unique sites:
Y1 0.0000 0.0000 0.0000 [3 per cell]
Tl1 0.0000 0.0000 0.2366 [3 per cell]
Tl2 0.0000 0.0000 0.4722 [3 per cell]
As1 0.0000 0.0000 0.7280 [3 per cell]

Entry 5:
Computed, not measured: a PBEsol-optimized structure of La2PtBr at the meta-GGA SCAN level of DFT.

Results
- raw total energy (eV/atom) = -45.3217
- formation energy from raw total energies (eV/f.u.) = -5.42

Lattice parameters (Å, degrees): 3.5065 3.5065 8.1266 90.00 90.07 90.00
Space group P2/m (No. 10)
Unique sites:
La1 0.0018 0.0000 0.2770 [2 per cell]
Pt1 0.5000 0.5000 0.5000 [1 per cell]
Br1 0.5000 0.5000 0.0000 [1 per cell]

Entry 6:
Computed, not measured: a PBEsol-optimized structure of HfNi2H2 at the meta-GGA SCAN level of DFT.

Results
- raw total energy (eV/atom) = -20.6892

Lattice parameters (Å, degrees): 3.3518 3.3518 7.9391 90.00 90.00 90.00
Space group I4/mmm (No. 139)
Unique sites:
Hf1 0.0000 0.0000 0.0000 [2 per cell]
Ni1 0.0000 0.0000 0.3334 [4 per cell]
H1 0.0000 0.5000 0.2500 [4 per cell]

Entry 7:
Computed, not measured: a PBEsol-optimized structure of TaCu2Ir at the meta-GGA SCAN level of DFT.

Results
- raw total energy (eV/atom) = -42.1296
- formation energy (eV/atom) = -0.109

Lattice parameters (Å, degrees): 2.8588 2.8588 6.6688 90.00 90.00 90.00
Space group P4mm (No. 99)
Unique sites:
Ta1 0.0000 0.0000 0.0000 [1 per cell]
Cu1 0.0000 0.0000 0.4800 [1 per cell]
Cu2 0.5000 0.5000 0.2761 [1 per cell]
Ir1 0.5000 0.5000 0.7290 [1 per cell]

Entry 8:
Computed, not measured: a PBEsol-optimized structure of Re2OsAu at the meta-GGA SCAN level of DFT.

Results
- raw total energy (eV/atom) = -70.0899
- formation energy (eV/atom) = 0.718

Lattice parameters (Å, degrees): 4.6569 4.6569 2.7844 90.00 90.00 90.00
Space group P4/mmm (No. 123)
Unique sites:
Re1 0.0000 0.5000 0.0000 [2 per cell]
Os1 0.0000 0.0000 0.5000 [1 per cell]
Au1 0.5000 0.5000 0.5000 [1 per cell]

Entry 9:
Computed, not measured: a PBEsol-optimized structure of SbPtN3 at the meta-GGA SCAN level of DFT.

Results
- raw total energy (eV/atom) = -25.4771
- formation energy from raw total energies (eV/f.u.) = 7.94

Lattice parameters (Å, degrees): 3.9204 3.9204 3.9204 90.00 90.00 90.00
Space group Pm-3m (No. 221)
Unique sites:
Sb1 0.0000 0.0000 0.0000 [1 per cell]
Pt1 0.5000 0.5000 0.5000 [1 per cell]
N1 0.0000 0.5000 0.5000 [3 per cell]

Entry 10:
Computed, not measured: a PBEsol-optimized structure of La2SiMo at the meta-GGA SCAN level of DFT.

Results
- raw total energy (eV/atom) = -32.8406
- formation energy from raw total energies (eV/f.u.) = -0.25

Lattice parameters (Å, degrees): 3.6718 4.7944 10.4280 90.00 90.00 90.00
Space group Imm2 (No. 44)
Unique sites:
La1 0.0000 0.0000 0.0000 [2 per cell]
La2 0.0000 0.5000 0.2144 [2 per cell]
Si1 0.0000 0.0000 0.4256 [2 per cell]
Mo1 0.0000 0.5000 0.7686 [2 per cell]

Entry 11:
Computed, not measured: a PBEsol-optimized structure of SnMoI2N at the meta-GGA SCAN level of DFT.

Results
- raw total energy (eV/atom) = -29.5706
- formation energy from raw total energies (eV/f.u.) = 5.73

Lattice parameters (Å, degrees): 5.9714 5.9714 3.8279 90.00 90.00 90.00
Space group P4/mmm (No. 123)
Unique sites:
Sn1 0.0000 0.0000 0.0000 [1 per cell]
Mo1 0.5000 0.5000 0.5000 [1 per cell]
I1 0.0000 0.5000 0.0000 [2 per cell]
N1 0.0000 0.0000 0.5000 [1 per cell]

Entry 12:
Computed, not measured: a PBEsol-optimized structure of AuSeBr2 at the meta-GGA SCAN level of DFT.

Results
- raw total energy (eV/atom) = -31.6125
- formation energy from raw total energies (eV/f.u.) = 1.70

Lattice parameters (Å, degrees): 3.0848 3.0848 34.1174 90.00 90.00 120.00
Space group R-3m (No. 166, hexagonal axes)
Unique sites:
Au1 0.0000 0.0000 0.0000 [3 per cell]
Se1 0.0000 0.0000 0.5000 [3 per cell]
Br1 0.0000 0.0000 0.0713 [6 per cell]

Entry 13:
Computed, not measured: a PBEsol-optimized structure of TcMoSe2 at the meta-GGA SCAN level of DFT.

Results
- raw total energy (eV/atom) = -26.7243
- formation energy from raw total energies (eV/f.u.) = 3.20

Lattice parameters (Å, degrees): 6.3378 6.3378 6.3378 90.00 90.00 90.00
Space group F-43m (No. 216)
Unique sites:
Tc1 0.0000 0.0000 0.0000 [4 per cell]
Mo1 0.2500 0.2500 0.7500 [4 per cell]
Se1 0.0000 0.0000 0.5000 [4 per cell]
Se2 0.2500 0.2500 0.2500 [4 per cell]

Number 1: ρ 8.290 g cm⁻³, M_tot 0.00 μB per formula unit. Number 2: ρ 5.403 g cm⁻³, M_tot 0.00 μB per formula unit. Number 3: ρ 8.001 g cm⁻³, M_tot 0.00 μB per formula unit. Number 4: ρ 8.458 g cm⁻³, M_tot 0.00 μB per formula unit. Number 5: ρ 9.187 g cm⁻³, M_tot 0.00 μB per formula unit. Number 6: ρ 11.092 g cm⁻³, M_tot 0.00 μB per formula unit. Number 7: ρ 15.242 g cm⁻³, M_tot 0.00 μB per formula unit. Number 8: ρ 20.889 g cm⁻³, M_tot 0.00 μB per formula unit. Number 9: ρ 9.889 g cm⁻³, M_tot 1.61 μB per formula unit. Number 10: ρ 7.270 g cm⁻³, M_tot 0.00 μB per formula unit. Number 11: ρ 5.869 g cm⁻³, M_tot 4.92 μB per formula unit. Number 12: ρ 7.720 g cm⁻³, M_tot 0.22 μB per formula unit. Number 13: ρ 9.180 g cm⁻³, M_tot 0.00 μB per formula unit.